Record 1
A plane-wave DFT calculation with GGA-PBE was carried out for a relaxed CdPb2N2 crystal.

a b c (Å): 3.409 3.505 14.427
angles (deg): 89.35 88.90 60.93
Element x y z (fractional)
Cd1 0.000 0.000 0.000
Pb1 0.486 0.998 0.182
Pb2 0.514 0.002 0.818
N1 0.036 0.001 0.462
N2 0.964 0.999 0.538

SG: No. 2
Crystal system: triclinic
Energy relative to the elements, uncorrected (eV/atom): 0.10
D(E_F) (states/eV/cell): 1.22

=====

Record 2
A plane-wave DFT calculation with GGA-PBE was carried out for a relaxed Cd3PbN crystal.

a b c (Å): 4.752 4.752 4.752
angles (deg): 90.00 90.00 90.00
Element x y z (fractional)
Cd1 0.000 0.000 0.500
Cd2 0.000 0.500 0.000
Cd3 0.500 0.000 0.000
Pb1 0.500 0.500 0.500
N1 0.000 0.000 0.000

SG: No. 221
Crystal system: cubic
Energy relative to the elements, uncorrected (eV/atom): 0.48
D(E_F) (states/eV/cell): 2.35

=====

Record 3
A plane-wave DFT calculation with GGA-PBE was carried out for a relaxed Cd2PbN2 crystal.

a b c (Å): 3.161 3.178 14.706
angles (deg): 87.11 88.59 88.90
Element x y z (fractional)
Cd1 0.025 0.050 0.309
Cd2 0.975 0.950 0.691
Pb1 0.500 0.500 0.500
N1 0.493 0.496 0.038
N2 0.507 0.504 0.962

SG: No. 2
Crystal system: triclinic
Energy relative to the elements, uncorrected (eV/atom): 0.16
D(E_F) (states/eV/cell): 0.86

=====

Record 4
A plane-wave DFT calculation with GGA-PBE was carried out for a relaxed CdPb3N crystal.

a b c (Å): 5.089 5.089 5.089
angles (deg): 90.00 90.00 90.00
Element x y z (fractional)
Cd1 0.000 0.000 0.000
Pb1 0.000 0.500 0.500
Pb2 0.500 0.000 0.500
Pb3 0.500 0.500 0.000
N1 0.500 0.500 0.500

SG: No. 221
Crystal system: cubic
Energy relative to the elements, uncorrected (eV/atom): 0.51
D(E_F) (states/eV/cell): 4.48

=====

Record 5
A plane-wave DFT calculation with GGA-PBE was carried out for a relaxed CdPb2N crystal.

a b c (Å): 6.398 6.398 6.398
angles (deg): 110.92 110.92 106.62
Element x y z (fractional)
Cd1 0.000 0.000 0.000
Cd2 0.750 0.250 0.500
Pb1 0.207 0.625 0.082
Pb2 0.375 0.457 0.582
Pb3 0.543 0.125 0.918
Pb4 0.875 0.793 0.418
N1 0.250 0.750 0.500
N2 0.500 0.500 0.000

SG: No. 122
Crystal system: tetragonal
Energy relative to the elements, uncorrected (eV/atom): 0.53
D(E_F) (states/eV/cell): 5.09

=====

Record 6
A plane-wave DFT calculation with GGA-PBE was carried out for a relaxed CdPbN3 crystal.

a b c (Å): 4.298 4.298 4.298
angles (deg): 90.00 90.00 90.00
Element x y z (fractional)
Cd1 0.000 0.000 0.000
Pb1 0.500 0.500 0.500
N1 0.000 0.000 0.500
N2 0.000 0.500 0.000
N3 0.500 0.000 0.000

SG: No. 221
Crystal system: cubic
Energy relative to the elements, uncorrected (eV/atom): 1.98
D(E_F) (states/eV/cell): 3.17

=====

Record 7
A plane-wave DFT calculation with GGA-PBE was carried out for a relaxed CdPbS2N crystal.

a b c (Å): 5.279 5.279 4.410
angles (deg): 90.00 90.00 90.00
Element x y z (fractional)
Cd1 0.000 0.000 0.000
Pb1 0.500 0.500 0.500
S1 0.000 0.500 0.500
S2 0.500 0.000 0.500
N1 0.500 0.500 0.000

SG: No. 123
Crystal system: tetragonal
Energy relative to the elements, uncorrected (eV/atom): 0.95
D(E_F) (states/eV/cell): 1.83

=====

Record 8
A plane-wave DFT calculation with GGA-PBE was carried out for a relaxed CdPbS2N crystal.

a b c (Å): 5.158 5.158 4.257
angles (deg): 90.00 90.00 90.00
Element x y z (fractional)
Cd1 0.000 0.000 0.000
Pb1 0.500 0.500 0.500
S1 0.000 0.500 0.000
S2 0.500 0.000 0.000
N1 0.000 0.000 0.500

SG: No. 123
Crystal system: tetragonal
Energy relative to the elements, uncorrected (eV/atom): 0.71
D(E_F) (states/eV/cell): 1.50

=====

Record 9
A plane-wave DFT calculation with GGA-PBE was carried out for a relaxed CdPbSe2N crystal.

a b c (Å): 5.424 5.424 4.308
angles (deg): 90.00 90.00 90.00
Element x y z (fractional)
Cd1 0.000 0.000 0.000
Pb1 0.500 0.500 0.500
Se1 0.000 0.500 0.000
Se2 0.500 0.000 0.000
N1 0.000 0.000 0.500

SG: No. 123
Crystal system: tetragonal
Energy relative to the elements, uncorrected (eV/atom): 0.65
D(E_F) (states/eV/cell): 2.16

=====

Record 10
A plane-wave DFT calculation with GGA-PBE was carried out for a relaxed CdPbSe2N crystal.

a b c (Å): 5.578 5.578 4.456
angles (deg): 90.00 90.00 90.00
Element x y z (fractional)
Cd1 0.000 0.000 0.000
Pb1 0.500 0.500 0.500
Se1 0.000 0.500 0.500
Se2 0.500 0.000 0.500
N1 0.500 0.500 0.000

SG: No. 123
Crystal system: tetragonal
Energy relative to the elements, uncorrected (eV/atom): 0.90
D(E_F) (states/eV/cell): 2.82

=====

Record 11
A plane-wave DFT calculation with GGA-PBE was carried out for a relaxed CdSiPb2N crystal.

a b c (Å): 5.286 5.286 4.172
angles (deg): 90.00 90.00 90.00
Element x y z (fractional)
Cd1 0.000 0.000 0.000
Si1 0.500 0.500 0.000
Pb1 0.000 0.500 0.500
Pb2 0.500 0.000 0.500
N1 0.000 0.000 0.500

SG: No. 123
Crystal system: tetragonal
Energy relative to the elements, uncorrected (eV/atom): 0.67
D(E_F) (states/eV/cell): 2.03

=====

Record 12
A plane-wave DFT calculation with GGA-PBE was carried out for a relaxed Sr2CdPbN crystal.

a b c (Å): 5.323 5.323 4.635
angles (deg): 90.00 90.00 90.00
Element x y z (fractional)
Sr1 0.000 0.500 0.000
Sr2 0.500 0.000 0.000
Cd1 0.000 0.000 0.500
Pb1 0.500 0.500 0.500
N1 0.000 0.000 0.000

SG: No. 123
Crystal system: tetragonal
Energy relative to the elements, uncorrected (eV/atom): -0.34
D(E_F) (states/eV/cell): 4.63